Entry 1:
# Na2TaBiBr

A relaxed structure of Na2TaBiBr (PBE, the Alexandria database).

Summary:
The space group is No. 123. The raw total energy comes out at -16.91 eV for the cell shown. The formation energy (no corrections) comes out at 626.2 meV per atom.

Structure (POSCAR):
```
Na2TaBiBr
1.0
6.4451 0.0000 0.0000
0.0000 6.4451 0.0000
0.0000 0.0000 5.3107
Na Ta Bi Br
2 1 1 1
direct
0.0000 0.5000 0.0000
0.5000 0.0000 0.0000
0.0000 0.0000 0.0000
0.0000 0.0000 0.5000
0.5000 0.5000 0.5000
```

=====

Entry 2:
# NaZrBi2Br

A relaxed structure of NaZrBi2Br (PBE, the Alexandria database).

Summary:
The space group is No. 123. The raw total energy comes out at -18.50 eV for the cell shown. The formation energy (no corrections) comes out at 160.0 meV per atom.

Structure (POSCAR):
```
NaZrBi2Br
1.0
5.5247 0.0000 0.0000
0.0000 5.5247 0.0000
0.0000 0.0000 10.7915
Na Zr Bi Br
1 1 2 1
direct
0.0000 0.0000 0.0000
0.0000 0.0000 0.5000
0.0000 0.5000 0.5000
0.5000 0.0000 0.5000
0.5000 0.5000 0.0000
```

=====

Entry 3:
# NbBi3Br

A relaxed structure of NbBi3Br (PBE, the Alexandria database).

Summary:
The space group is No. 221. The raw total energy comes out at -17.02 eV for the cell shown. The formation energy (no corrections) comes out at 1273.3 meV per atom.

Structure (POSCAR):
```
NbBi3Br
1.0
5.5709 0.0000 0.0000
0.0000 5.5709 0.0000
0.0000 0.0000 5.5709
Nb Bi Br
1 3 1
direct
0.0000 0.0000 0.0000
0.0000 0.5000 0.5000
0.5000 0.0000 0.5000
0.5000 0.5000 0.0000
0.5000 0.5000 0.5000
```

=====

Entry 4:
# NbBi3Br

A relaxed structure of NbBi3Br (PBE, the Alexandria database).

Summary:
The space group is No. 221. The raw total energy comes out at -22.49 eV for the cell shown. The formation energy (no corrections) comes out at 178.9 meV per atom.

Structure (POSCAR):
```
NbBi3Br
1.0
5.4953 0.0000 0.0000
0.0000 5.4953 0.0000
0.0000 0.0000 5.4953
Nb Bi Br
1 3 1
direct
0.0000 0.0000 0.0000
0.0000 0.0000 0.5000
0.0000 0.5000 0.0000
0.5000 0.0000 0.0000
0.5000 0.5000 0.5000
```

=====

Entry 5:
# NbBiPbBr2

A relaxed structure of NbBiPbBr2 (PBE, the Alexandria database).

Summary:
The space group is No. 123. The raw total energy comes out at -20.85 eV for the cell shown. The formation energy (no corrections) comes out at 31.8 meV per atom.

Structure (POSCAR):
```
NbBiPbBr2
1.0
5.0890 0.0000 0.0000
0.0000 5.0890 0.0000
0.0000 0.0000 5.9490
Nb Bi Pb Br
1 1 1 2
direct
0.0000 0.0000 0.0000
0.0000 0.0000 0.5000
0.5000 0.5000 0.5000
0.0000 0.5000 0.0000
0.5000 0.0000 0.0000
```

=====

Entry 6:
# RbNbBi2Br

A relaxed structure of RbNbBi2Br (PBE, the Alexandria database).

Summary:
The space group is No. 123. The raw total energy comes out at -11.44 eV for the cell shown. The formation energy (no corrections) comes out at 1807.0 meV per atom.

Structure (POSCAR):
```
RbNbBi2Br
1.0
6.2996 0.0000 0.0000
0.0000 6.2996 0.0000
0.0000 0.0000 5.5206
Rb Nb Bi Br
1 1 2 1
direct
0.0000 0.0000 0.0000
0.0000 0.0000 0.5000
0.0000 0.5000 0.0000
0.5000 0.0000 0.0000
0.5000 0.5000 0.5000
```

=====

Entry 7:
# Rb2NbBiBr6

A relaxed structure of Rb2NbBiBr6 (PBE, the Alexandria database).

Summary:
The space group is No. 139. The raw total energy comes out at -34.99 eV for the cell shown. The formation energy (no corrections) comes out at -906.8 meV per atom.

Structure (POSCAR):
```
Rb2NbBiBr6
1.0
-3.9229 3.9229 6.4009
3.9229 -3.9229 6.4009
3.9229 3.9229 -6.4009
Rb Nb Bi Br
2 1 1 6
direct
0.2500 0.7500 0.5000
0.7500 0.2500 0.5000
0.0000 0.0000 0.0000
0.5000 0.5000 0.0000
0.2097 0.2097 0.0000
0.2410 0.2410 0.4820
0.2410 0.7590 0.0000
0.7590 0.2410 0.0000
0.7590 0.7590 0.5180
0.7903 0.7903 0.0000
```

=====

Entry 8:
# NbReBiBr2

A relaxed structure of NbReBiBr2 (PBE, the Alexandria database).

Summary:
The space group is No. 123. The raw total energy comes out at -24.99 eV for the cell shown. The formation energy (no corrections) comes out at 950.4 meV per atom.

Structure (POSCAR):
```
NbReBiBr2
1.0
5.0455 0.0000 0.0000
0.0000 5.0455 0.0000
0.0000 0.0000 5.2347
Nb Re Bi Br
1 1 1 2
direct
0.0000 0.0000 0.0000
0.0000 0.0000 0.5000
0.5000 0.5000 0.5000
0.0000 0.5000 0.0000
0.5000 0.0000 0.0000
```

=====

Entry 9:
# NbBiRh2Br

A relaxed structure of NbBiRh2Br (PBE, the Alexandria database).

Summary:
The space group is No. 123. The raw total energy comes out at -26.46 eV for the cell shown. The formation energy (no corrections) comes out at 772.5 meV per atom.

Structure (POSCAR):
```
NbBiRh2Br
1.0
4.6717 0.0000 0.0000
0.0000 4.6717 0.0000
0.0000 0.0000 4.8352
Nb Bi Rh Br
1 1 2 1
direct
0.0000 0.0000 0.0000
0.5000 0.5000 0.0000
0.0000 0.5000 0.5000
0.5000 0.0000 0.5000
0.0000 0.0000 0.5000
```

=====

Entry 10:
# NbBiSe2Br

A relaxed structure of NbBiSe2Br (PBE, the Alexandria database).

Summary:
The space group is No. 123. The raw total energy comes out at -18.56 eV for the cell shown. The formation energy (no corrections) comes out at 805.7 meV per atom.

Structure (POSCAR):
```
NbBiSe2Br
1.0
5.5620 0.0000 0.0000
0.0000 5.5620 0.0000
0.0000 0.0000 5.4285
Nb Bi Se Br
1 1 2 1
direct
0.0000 0.0000 0.0000
0.5000 0.5000 0.5000
0.0000 0.5000 0.5000
0.5000 0.0000 0.5000
0.5000 0.5000 0.0000
```

=====

Entry 11:
# NbBiSe2Br

A relaxed structure of NbBiSe2Br (PBE, the Alexandria database).

Summary:
The space group is No. 123. The raw total energy comes out at -22.87 eV for the cell shown. The formation energy (no corrections) comes out at -55.8 meV per atom.

Structure (POSCAR):
```
NbBiSe2Br
1.0
5.1198 0.0000 0.0000
0.0000 5.1198 0.0000
0.0000 0.0000 5.1562
Nb Bi Se Br
1 1 2 1
direct
0.0000 0.0000 0.0000
0.5000 0.5000 0.5000
0.0000 0.5000 0.0000
0.5000 0.0000 0.0000
0.0000 0.0000 0.5000
```

=====

Entry 12:
# NbTlBiBr2

A relaxed structure of NbTlBiBr2 (PBE, the Alexandria database).

Summary:
The space group is No. 123. The raw total energy comes out at -15.12 eV for the cell shown. The formation energy (no corrections) comes out at 909.4 meV per atom.

Structure (POSCAR):
```
NbTlBiBr2
1.0
5.7088 0.0000 0.0000
0.0000 5.7088 0.0000
0.0000 0.0000 6.3749
Nb Tl Bi Br
1 1 1 2
direct
0.0000 0.0000 0.0000
0.5000 0.5000 0.0000
0.5000 0.5000 0.5000
0.0000 0.5000 0.5000
0.5000 0.0000 0.5000
```